The following is a GGA-PBE calculation of a relaxed NiMoP2 crystal, from Alexandria.

Summary:
Energy of formation (eV/atom): -0.178
SG: P4/mmm (123)

Unit cell a=4.0729 b=4.0729 c=3.0744 alpha=90.00 beta=90.00 gamma=90.00
Sites, in units of the cell vectors:
P 0.0000 0.0000 0.0000
Mo 0.5000 0.0000 0.5000
P 0.5000 0.5000 0.0000
Ni 0.0000 0.5000 0.5000

=====

The following is a GGA-PBE calculation of a relaxed VPdRh3 crystal, from Alexandria.

Summary:
Energy of formation (eV/atom): -0.159
E above lowest polymorph (eV per atom): 0.000
SG: P2_1/c (14)

Unit cell a=4.6686 b=6.7755 c=9.3564 alpha=103.93 beta=90.00 gamma=90.00
Sites, in units of the cell vectors:
Rh 0.2783 0.4589 0.4026
V 0.3193 0.6695 0.2158
Rh 0.6566 0.1499 0.4688
V 0.8193 0.3305 0.2842
Rh 0.8377 0.9484 0.6747
V 0.6807 0.3305 0.7842
Pd 0.6621 0.7378 0.8796
Rh 0.3377 0.0516 0.8253
Rh 0.6623 0.9484 0.1747
Rh 0.1623 0.0516 0.3253
Rh 0.2217 0.4589 0.9026
Rh 0.1566 0.8501 0.0312
Pd 0.1621 0.2622 0.6204
Rh 0.7783 0.5411 0.0974
Rh 0.7217 0.5411 0.5974
Pd 0.8379 0.7378 0.3796
Rh 0.8434 0.1499 0.9688
Pd 0.3379 0.2622 0.1204
V 0.1807 0.6695 0.7158
Rh 0.3434 0.8501 0.5312

=====

The following is a GGA-PBE calculation of a relaxed Ca2CdPt crystal, from Alexandria.

Summary:
Energy of formation (eV/atom): -0.343
SG: I-42d (122)

Unit cell a=8.2854 b=8.2854 c=6.6836 alpha=51.70 beta=51.70 gamma=90.00
Sites, in units of the cell vectors:
Ca 0.8750 0.9257 0.7500
Ca 0.0743 0.6250 0.2500
Ca 0.3750 0.3243 0.7500
Cd 0.5000 0.5000 0.0000
Pt 0.7500 0.2500 0.5000
Cd 0.2500 0.7500 0.5000
Ca 0.6757 0.1250 0.2500
Pt 0.0000 0.0000 0.0000

=====

The following is a GGA-PBE calculation of a relaxed GeCBr3 crystal, from Alexandria.

Summary:
Raw formation energy (meV per atom): 1016
SG: Pm-3m (221)

Unit cell a=4.7513 b=4.7513 c=4.7513 alpha=90.00 beta=90.00 gamma=90.00
Sites, in units of the cell vectors:
C 0.0000 0.0000 0.0000
Ge 0.5000 0.5000 0.5000
Br 0.5000 0.0000 0.0000
Br 0.0000 0.5000 0.0000
Br 0.0000 0.0000 0.5000

=====

The following is a GGA-PBE calculation of a relaxed Cs2TlAuO4 crystal, from Alexandria.

Summary:
Raw formation energy (meV per atom): -763
SG: Fddd (70)

Unit cell a=6.3934 b=7.9355 c=11.6694 alpha=83.66 beta=74.10 gamma=66.24
Sites, in units of the cell vectors:
O 0.3635 0.8094 0.0019
Tl 0.7500 0.5000 0.5000
O 0.1154 0.3094 0.4981
Tl 0.0000 0.0000 0.0000
O 0.9229 0.6906 0.5019
O 0.1748 0.1906 0.9981
Au 0.2500 0.5000 0.5000
O 0.6346 0.1906 0.0019
Cs 0.9273 0.5000 0.1454
O 0.8271 0.8094 0.9981
Cs 0.8227 0.0000 0.3546
Au 0.5000 0.0000 0.0000
O 0.5752 0.3094 0.5019
Cs 0.5727 0.5000 0.8546
Cs 0.1773 0.0000 0.6454
O 0.3865 0.6906 0.4981

=====

The following is a GGA-PBE calculation of a relaxed DyMg2Ga9 crystal, from Alexandria.

Summary:
Energy of formation (eV/atom): -0.234
SG: P4/mmm (123)

Unit cell a=4.2311 b=4.2311 c=12.6087 alpha=90.00 beta=90.00 gamma=90.00
Sites, in units of the cell vectors:
Ga 0.5000 0.0000 0.8247
Ga 0.0000 0.5000 0.5000
Ga 0.5000 0.5000 0.3326
Ga 0.5000 0.5000 0.6674
Ga 0.5000 0.5000 0.0000
Ga 0.0000 0.5000 0.1753
Mg 0.0000 0.0000 0.6644
Ga 0.5000 0.0000 0.1753
Dy 0.0000 0.0000 0.0000
Ga 0.0000 0.5000 0.8247
Mg 0.0000 0.0000 0.3356
Ga 0.5000 0.0000 0.5000

=====

The following is a GGA-PBE calculation of a relaxed Pa3Re2B9 crystal, from Alexandria.

Summary:
Energy of formation (eV/atom): -0.307
SG: Immm (71)

Unit cell a=3.0916 b=7.9899 c=7.9899 alpha=61.28 beta=78.84 gamma=78.84
Sites, in units of the cell vectors:
Pa 0.0000 0.0000 0.0000
B 0.0000 0.5000 0.5000
Pa 0.7332 0.2668 0.2668
B 0.3610 0.9597 0.3183
B 0.8700 0.8672 0.3929
B 0.6390 0.6817 0.0403
Re 0.5000 0.6765 0.3235
B 0.8700 0.3929 0.8672
Re 0.5000 0.3235 0.6765
B 0.6390 0.0403 0.6817
B 0.1300 0.1328 0.6071
B 0.3610 0.3183 0.9597
B 0.1300 0.6071 0.1328
Pa 0.2668 0.7332 0.7332

=====

The following is a GGA-PBE calculation of a relaxed Pr2Sm3ErTe6 crystal, from Alexandria.

Summary:
Raw formation energy (meV per atom): -1374
SG: C2/m (12)

Unit cell a=4.4233 b=8.9558 c=9.9533 alpha=102.28 beta=102.84 gamma=90.00
Sites, in units of the cell vectors:
Te 0.6601 0.0749 0.3203
Te 0.3399 0.9251 0.6797
Sm 0.8256 0.1648 0.6513
Te 0.9970 0.2408 0.9941
Te 0.6628 0.5862 0.3256
Pr 0.1709 0.3363 0.3417
Te 0.0030 0.7592 0.0059
Sm 0.1744 0.8352 0.3487
Pr 0.8291 0.6637 0.6583
Sm 0.5000 0.5000 0.0000
Te 0.3372 0.4138 0.6744
Er 0.5000 0.0000 0.0000

=====

The following is a GGA-PBE calculation of a relaxed TcSbOs2 crystal, from Alexandria.

Summary:
Raw formation energy (meV per atom): 500
SG: Pmm2 (25)

Unit cell a=2.8770 b=3.8679 c=5.7660 alpha=90.00 beta=90.00 gamma=90.00
Sites, in units of the cell vectors:
Sb 0.0000 0.0000 0.5010
Os 0.0000 0.0000 0.0076
Os 0.5000 0.5000 0.2240
Tc 0.5000 0.5000 0.7674

=====

The following is a GGA-PBE calculation of a relaxed UTi2CrC4 crystal, from Alexandria.

Summary:
Energy of formation (eV/atom): -0.327
SG: Cmcm (63)

Unit cell a=3.1428 b=5.7130 c=10.6550 alpha=90.00 beta=90.00 gamma=105.97
Sites, in units of the cell vectors:
Ti 0.3718 0.7436 0.5422
C 0.2649 0.5298 0.1174
U 0.8950 0.7900 0.2500
Ti 0.6282 0.2564 0.0422
C 0.5579 0.1158 0.2500
C 0.0000 0.0000 0.0000
Cr 0.8404 0.6808 0.7500
C 0.7351 0.4702 0.6174
C 0.4421 0.8842 0.7500
C 0.7351 0.4702 0.8826
U 0.1050 0.2100 0.7500
Ti 0.3718 0.7436 0.9578
C 0.2649 0.5298 0.3826
C 0.0000 0.0000 0.5000
Cr 0.1596 0.3192 0.2500
Ti 0.6282 0.2564 0.4578

=====

Copy entry 3 word for word.
The following is a GGA-PBE calculation of a relaxed Ca2CdPt crystal, from Alexandria.

Summary:
Energy of formation (eV/atom): -0.343
SG: I-42d (122)

Unit cell a=8.2854 b=8.2854 c=6.6836 alpha=51.70 beta=51.70 gamma=90.00
Sites, in units of the cell vectors:
Ca 0.8750 0.9257 0.7500
Ca 0.0743 0.6250 0.2500
Ca 0.3750 0.3243 0.7500
Cd 0.5000 0.5000 0.0000
Pt 0.7500 0.2500 0.5000
Cd 0.2500 0.7500 0.5000
Ca 0.6757 0.1250 0.2500
Pt 0.0000 0.0000 0.0000